No. 1
The following is a PBE-GGA calculation of crystalline Sr2PdF at its relaxed geometry, from Alexandria.

Output
Uncorrected formation energy in eV/atom: -1.32
Final energy in Ry per atom: -0.288
D(E_F) in states/eV per atom: 1.13

Cell: 5.197 5.197 5.197 Å, 60.00 60.00 60.00°
Element x y z (fractional)
1 Sr 0.250 0.250 0.250
2 Sr 0.750 0.750 0.750
3 Pd 0.500 0.500 0.500
4 F 0.000 0.000 0.000

=====

No. 2
The following is a PBE-GGA calculation of crystalline CaPtS at its relaxed geometry, from Alexandria.

Output
Uncorrected formation energy in eV/atom: -1.01
Final energy in Ry per atom: -0.373
D(E_F) in states/eV per atom: 0.12

Cell: 3.753 4.045 8.569 Å, 76.34 76.66 90.00°
Element x y z (fractional)
1 Ca 0.863 0.460 0.884
2 Ca 0.630 0.769 0.266
3 S 0.196 0.321 0.162
4 S 0.558 0.035 0.733
5 Pt 0.997 0.167 0.469
6 Pt 0.449 0.601 0.603

=====

No. 3
The following is a PBE-GGA calculation of crystalline CdMoOs2 at its relaxed geometry, from Alexandria.

Output
Formation energy in meV/atom: 650
Final energy in Ry per atom: -0.581
D(E_F) in states/eV per atom: 1.05

Cell: 3.803 4.083 4.083 Å, 90.00 90.00 90.00°
Element x y z (fractional)
1 Cd 0.500 0.500 0.000
2 Mo 0.500 0.000 0.500
3 Os 0.000 0.000 0.000
4 Os 0.000 0.500 0.500

=====

No. 4
The following is a PBE-GGA calculation of crystalline SmTm10Th4 at its relaxed geometry, from Alexandria.

Output
Formation energy in meV/atom: 393
Final energy in Ry per atom: -0.359
D(E_F) in states/eV per atom: 1.64

Cell: 10.661 8.635 8.635 Å, 67.60 51.88 51.88°
Element x y z (fractional)
1 Sm 0.000 0.000 0.000
2 Tm 0.250 0.500 0.500
3 Tm 0.543 0.327 0.902
4 Tm 0.129 0.098 0.327
5 Tm 0.554 0.902 0.673
6 Tm 0.773 0.673 0.098
7 Tm 0.457 0.673 0.098
8 Tm 0.750 0.500 0.500
9 Tm 0.227 0.327 0.902
10 Tm 0.446 0.098 0.327
11 Tm 0.871 0.902 0.673
12 Th 0.339 0.728 0.594
13 Th 0.933 0.406 0.728
14 Th 0.067 0.594 0.272
15 Th 0.661 0.272 0.406

=====

No. 5
The following is a PBE-GGA calculation of crystalline Fe4TcTe at its relaxed geometry, from Alexandria.

Output
Uncorrected formation energy in eV/atom: 0.34
Final energy in Ry per atom: -0.555
D(E_F) in states/eV per atom: 1.21

Cell: 4.893 4.893 4.893 Å, 60.00 60.00 60.00°
Each line ends with the local moment (μB).
Element x y z (fractional)
1 Fe 0.872 0.376 0.376  2.45
2 Fe 0.376 0.376 0.872  2.45
3 Fe 0.376 0.872 0.376  2.45
4 Fe 0.376 0.376 0.376  2.45
5 Tc 0.750 0.750 0.750  0.94
6 Te 0.000 0.000 0.000  0.02

=====

No. 6
The following is a PBE-GGA calculation of crystalline Pm5Sm12Dy2 at its relaxed geometry, from Alexandria.

Output
Formation energy in meV/atom: 171
Final energy in Ry per atom: -0.334
D(E_F) in states/eV per atom: 1.67

Cell: 7.159 9.962 10.504 Å, 70.17 90.00 111.06°
Element x y z (fractional)
1 Pm 0.186 0.372 0.815
2 Pm 0.324 0.648 0.209
3 Pm 0.000 0.000 0.500
4 Pm 0.676 0.352 0.791
5 Pm 0.814 0.628 0.185
6 Sm 0.975 0.951 0.244
7 Sm 0.088 0.681 0.868
8 Sm 0.593 0.681 0.868
9 Sm 0.086 0.669 0.522
10 Sm 0.583 0.669 0.522
11 Sm 0.501 0.002 0.678
12 Sm 0.499 0.998 0.322
13 Sm 0.914 0.331 0.478
14 Sm 0.417 0.331 0.478
15 Sm 0.912 0.319 0.132
16 Sm 0.407 0.319 0.132
17 Sm 0.025 0.049 0.756
18 Dy 0.723 0.000 0.000
19 Dy 0.277 0.000 0.000

=====

No. 7
The following is a PBE-GGA calculation of crystalline Sr2CoHN at its relaxed geometry, from Alexandria.

Output
Final energy in Ry per atom: -0.352
D(E_F) in states/eV per atom: 0.37

Cell: 5.261 5.261 3.516 Å, 90.00 90.00 90.00°
Element x y z (fractional)
1 Sr 0.000 0.500 0.000
2 Sr 0.500 0.000 0.000
3 Co 0.000 0.000 0.500
4 H 0.500 0.500 0.500
5 N 0.000 0.000 0.000

=====

No. 8
The following is a PBE-GGA calculation of crystalline ZnPd5Se at its relaxed geometry, from Alexandria.

Output
Uncorrected formation energy in eV/atom: -0.31
Final energy in Ry per atom: -0.346
D(E_F) in states/eV per atom: 0.24

Cell: 4.002 4.002 7.016 Å, 90.00 90.00 90.00°
Element x y z (fractional)
1 Zn 0.500 0.500 0.000
2 Pd 0.000 0.500 0.274
3 Pd 0.000 0.500 0.726
4 Pd 0.500 0.000 0.274
5 Pd 0.500 0.000 0.726
6 Pd 0.000 0.000 0.000
7 Se 0.000 0.000 0.500

=====

No. 9
The following is a PBE-GGA calculation of crystalline AlCoTc at its relaxed geometry, from Alexandria.

Output
Formation energy in meV/atom: -35
Final energy in Ry per atom: -0.522
D(E_F) in states/eV per atom: 1.20

Cell: 3.959 3.959 3.959 Å, 60.00 60.00 60.00°
Each line ends with the local moment (μB).
Element x y z (fractional)
1 Co 0.750 0.750 0.750  0.20
2 Tc 0.000 0.000 0.000  0.44
3 Al 0.500 0.500 0.500  -0.01

=====

No. 10
The following is a PBE-GGA calculation of crystalline Y2MnSb at its relaxed geometry, from Alexandria.

Output
Uncorrected formation energy in eV/atom: -0.28
Final energy in Ry per atom: -0.503
D(E_F) in states/eV per atom: 1.17

Cell: 5.565 5.565 4.671 Å, 65.18 65.18 49.67°
Each line ends with the local moment (μB).
Element x y z (fractional)
1 Mn 0.750 0.750 0.750  3.68
2 Sb 0.250 0.250 0.250  0.02
3 Y 0.000 0.000 0.000  -0.30
4 Y 0.500 0.500 0.500  -0.30

=====

No. 11
The following is a PBE-GGA calculation of crystalline MnSe2Cl at its relaxed geometry, from Alexandria.

Output
Uncorrected formation energy in eV/atom: 0.56
Final energy in Ry per atom: -0.289
D(E_F) in states/eV per atom: 1.04

Cell: 11.855 11.855 11.855 Å, 13.82 13.82 13.82°
Element x y z (fractional)
1 Mn 0.000 0.000 0.000
2 Se 0.935 0.935 0.935
3 Se 0.065 0.065 0.065
4 Cl 0.500 0.500 0.500

=====

No. 12
The following is a PBE-GGA calculation of crystalline Sc2Pt2Se at its relaxed geometry, from Alexandria.

Output
Uncorrected formation energy in eV/atom: -0.86
Final energy in Ry per atom: -0.478
D(E_F) in states/eV per atom: 0.11

Cell: 6.096 6.096 6.096 Å, 135.69 135.69 64.46°
Element x y z (fractional)
1 Sc 0.250 0.750 0.500
2 Sc 0.750 0.250 0.500
3 Pt 0.625 0.625 0.000
4 Pt 0.375 0.375 0.000
5 Se 0.000 0.000 0.000